Record 1
Density functional theory data (GGA-PBE) for a relaxed KSmSeCl crystal.

The formation energy without anion corrections is -1.607 eV per atom. The value obtained for the density of states at the Fermi level is 2.4 states/eV/f.u. The electronic total energy comes out at -4.394 eV/atom. The space group is R3m (160).

a b c (Å): 4.120 4.120 23.706
angles (deg): 90.00 90.00 120.00
Positions (direct):
K1 0.000 0.000 0.000
K2 0.333 0.667 0.667
K3 0.667 0.333 0.333
Sm1 0.000 0.000 0.177
Sm2 0.333 0.667 0.843
Sm3 0.667 0.333 0.510
Se1 0.000 0.000 0.579
Se2 0.333 0.667 0.246
Se3 0.667 0.333 0.913
Cl1 0.000 0.000 0.767
Cl2 0.333 0.667 0.433
Cl3 0.667 0.333 0.100



Record 2
Density functional theory data (GGA-PBE) for a relaxed FeSe2S crystal.

The formation energy without anion corrections is 0.276 eV per atom. The value obtained for the density of states at the Fermi level is 2.4 states/eV/f.u. The electronic total energy comes out at -4.614 eV/atom. For the energy above the most stable polymorph in this dataset, the calculation gives 179 meV/atom. The space group is I-42d (122).

a b c (Å): 5.993 5.993 9.740
angles (deg): 90.00 90.00 90.00
Positions (direct):
Fe1 0.000 0.000 0.000
Fe2 0.000 0.500 0.250
Fe3 0.500 0.000 0.750
Fe4 0.500 0.500 0.500
Se1 0.185 0.250 0.125
Se2 0.250 0.685 0.375
Se3 0.250 0.815 0.875
Se4 0.315 0.250 0.625
Se5 0.685 0.750 0.625
Se6 0.750 0.185 0.875
Se7 0.750 0.315 0.375
Se8 0.815 0.750 0.125
S1 0.000 0.000 0.500
S2 0.000 0.500 0.750
S3 0.500 0.000 0.250
S4 0.500 0.500 0.000



Record 3
Density functional theory data (GGA-PBE) for a relaxed Ba3ICl2O6 crystal.

The formation energy without anion corrections is -1.541 eV per atom. The value obtained for the density of states at the Fermi level is 5.0 states/eV/f.u. The electronic total energy comes out at -4.938 eV/atom. The space group is C2/m (12).

a b c (Å): 7.673 7.673 5.483
angles (deg): 91.60 91.60 55.53
Positions (direct):
Ba1 0.000 0.000 0.000
Ba2 0.000 0.500 0.500
Ba3 0.500 0.000 0.500
I1 0.500 0.500 0.500
Cl1 0.217 0.217 0.949
Cl2 0.783 0.783 0.051
O1 0.248 0.648 0.695
O2 0.352 0.752 0.305
O3 0.377 0.377 0.327
O4 0.623 0.623 0.673
O5 0.648 0.248 0.695
O6 0.752 0.352 0.305



Record 4
Density functional theory data (GGA-PBE) for a relaxed Ac2DyH crystal.

The value obtained for the density of states at the Fermi level is 5.8 states/eV/f.u. The electronic total energy comes out at -3.891 eV/atom. For the energy above the most stable polymorph in this dataset, the calculation gives 32 meV/atom. The space group is P4/mmm (123).

a b c (Å): 3.697 3.697 9.030
angles (deg): 90.00 90.00 90.00
Positions (direct):
Ac1 0.000 0.000 0.199
Ac2 0.000 0.000 0.801
Dy1 0.500 0.500 0.500
H1 0.500 0.500 0.000



Record 5
Density functional theory data (GGA-PBE) for a relaxed IrRuPt crystal.

Its energy of formation is -30 meV/atom. The value obtained for the density of states at the Fermi level is 2.6 states/eV/f.u. The electronic total energy comes out at -8.089 eV/atom. For the energy above the most stable polymorph in this dataset, the calculation gives 0 meV/atom. The space group is I4mm (107).

a b c (Å): 2.728 2.728 11.846
angles (deg): 90.00 90.00 90.00
Positions (direct):
Ir1 0.000 0.000 0.000
Ir2 0.500 0.500 0.500
Ru1 0.000 0.000 0.653
Ru2 0.500 0.500 0.153
Pt1 0.000 0.000 0.324
Pt2 0.500 0.500 0.824



Record 6
Density functional theory data (GGA-PBE) for a relaxed CaCd2Fe crystal.

Its energy of formation is 360 meV/atom. The value obtained for the density of states at the Fermi level is 4.4 states/eV/f.u. The electronic total energy comes out at -2.714 eV/atom. The space group is R-3m (166).

a b c (Å): 3.256 3.256 29.130
angles (deg): 90.00 90.00 120.00
Positions (direct):
Ca1 0.000 0.000 0.000
Ca2 0.333 0.667 0.667
Ca3 0.667 0.333 0.333
Cd1 0.000 0.000 0.239
Cd2 0.000 0.000 0.761
Cd3 0.333 0.667 0.427
Cd4 0.333 0.667 0.906
Cd5 0.667 0.333 0.094
Cd6 0.667 0.333 0.573
Fe1 0.000 0.000 0.500
Fe2 0.333 0.667 0.167
Fe3 0.667 0.333 0.833



Record 7
Density functional theory data (GGA-PBE) for a relaxed PmSn2Pd crystal.

Its energy of formation is -687 meV/atom. The value obtained for the density of states at the Fermi level is 1.9 states/eV/f.u. The electronic total energy comes out at -5.174 eV/atom. For the energy above the most stable polymorph in this dataset, the calculation gives 18 meV/atom. The space group is R-3m (166).

a b c (Å): 4.522 4.522 16.466
angles (deg): 90.00 90.00 120.00
Positions (direct):
Pm1 0.000 0.000 0.000
Pm2 0.333 0.667 0.667
Pm3 0.667 0.333 0.333
Sn1 0.000 0.000 0.224
Sn2 0.000 0.000 0.776
Sn3 0.333 0.667 0.443
Sn4 0.333 0.667 0.890
Sn5 0.667 0.333 0.110
Sn6 0.667 0.333 0.557
Pd1 0.000 0.000 0.500
Pd2 0.333 0.667 0.167
Pd3 0.667 0.333 0.833



Record 8
Density functional theory data (GGA-PBE) for a relaxed TbTiNi4 crystal.

Its energy of formation is -328 meV/atom. The value obtained for the density of states at the Fermi level is 5.6 states/eV/f.u. The electronic total energy comes out at -6.269 eV/atom. The space group is F-43m (216).

a b c (Å): 4.924 4.924 4.924
angles (deg): 60.00 60.00 60.00
Positions (direct):
Tb1 0.000 0.000 0.000
Ti1 0.250 0.250 0.250
Ni1 0.127 0.624 0.624
Ni2 0.624 0.127 0.624
Ni3 0.624 0.624 0.127
Ni4 0.624 0.624 0.624



Record 9
Density functional theory data (GGA-PBE) for a relaxed CoSi2Ni crystal.

The formation energy without anion corrections is -0.406 eV per atom. The value obtained for the density of states at the Fermi level is 2.2 states/eV/f.u. The electronic total energy comes out at -6.339 eV/atom. The space group is Pmm2 (25).

a b c (Å): 2.667 4.294 3.963
angles (deg): 90.00 90.00 90.00
Positions (direct):
Co1 0.000 0.000 0.000
Si1 0.000 0.500 0.255
Si2 0.500 0.000 0.493
Ni1 0.500 0.500 0.751



Record 10
Density functional theory data (GGA-PBE) for a relaxed SbMoIr2 crystal.

The formation energy without anion corrections is 0.113 eV per atom. The value obtained for the density of states at the Fermi level is 2.6 states/eV/f.u. The electronic total energy comes out at -8.056 eV/atom. The space group is Cm (8).

a b c (Å): 9.174 2.947 4.943
angles (deg): 90.00 98.18 90.00
Positions (direct):
Sb1 0.000 0.000 0.000
Sb2 0.500 0.500 0.000
Mo1 0.265 0.500 0.314
Mo2 0.765 0.000 0.314
Ir1 0.003 0.500 0.502
Ir2 0.247 0.000 0.776
Ir3 0.503 0.000 0.502
Ir4 0.747 0.500 0.776



Record 11
Density functional theory data (GGA-PBE) for a relaxed Pm6ErCd5 crystal.

Its energy of formation is -228 meV/atom. The value obtained for the density of states at the Fermi level is 16.1 states/eV/f.u. The electronic total energy comes out at -3.365 eV/atom. The space group is Immm (71).

a b c (Å): 9.449 9.449 9.449
angles (deg): 146.85 131.04 60.41
Positions (direct):
Pm1 0.074 0.329 0.744
Pm2 0.234 0.000 0.234
Pm3 0.415 0.671 0.744
Pm4 0.585 0.329 0.256
Pm5 0.766 0.000 0.766
Pm6 0.926 0.671 0.256
Er1 0.500 0.500 0.000
Cd1 0.000 0.500 0.500
Cd2 0.168 0.168 0.000
Cd3 0.345 0.845 0.500
Cd4 0.655 0.155 0.500
Cd5 0.832 0.832 0.000



Record 12
Density functional theory data (GGA-PBE) for a relaxed LiLa2Eu crystal.

Its energy of formation is 226 meV/atom. The value obtained for the density of states at the Fermi level is 5.6 states/eV/f.u. The electronic total energy comes out at -5.284 eV/atom. For the energy above the most stable polymorph in this dataset, the calculation gives 123 meV/atom. The space group is R-3m (166).

a b c (Å): 3.608 3.608 38.945
angles (deg): 90.00 90.00 120.00
Positions (direct):
Li1 0.000 0.000 0.000
Li2 0.333 0.667 0.667
Li3 0.667 0.333 0.333
La1 0.000 0.000 0.087
La2 0.000 0.000 0.913
La3 0.333 0.667 0.580
La4 0.333 0.667 0.753
La5 0.667 0.333 0.247
La6 0.667 0.333 0.420
Eu1 0.000 0.000 0.500
Eu2 0.333 0.667 0.167
Eu3 0.667 0.333 0.833



Record 13
Density functional theory data (GGA-PBE) for a relaxed Er4Tl3Au crystal.

Its energy of formation is -460 meV/atom. The value obtained for the density of states at the Fermi level is 5.2 states/eV/f.u. The electronic total energy comes out at -4.039 eV/atom. For the energy above the most stable polymorph in this dataset, the calculation gives 0 meV/atom. The space group is P4/mmm (123).

a b c (Å): 3.583 3.583 16.063
angles (deg): 90.00 90.00 90.00
Positions (direct):
Er1 0.000 0.000 0.109
Er2 0.000 0.000 0.369
Er3 0.000 0.000 0.631
Er4 0.000 0.000 0.891
Tl1 0.500 0.500 0.240
Tl2 0.500 0.500 0.500
Tl3 0.500 0.500 0.760
Au1 0.500 0.500 0.000



Record 14
Density functional theory data (GGA-PBE) for a relaxed Pm2Pr3DyS6 crystal.

The formation energy without anion corrections is -2.025 eV per atom. The value obtained for the density of states at the Fermi level is 5.3 states/eV/f.u. The electronic total energy comes out at -6.458 eV/atom. The space group is C2/m (12).

a b c (Å): 7.004 7.004 7.034
angles (deg): 99.53 99.53 120.14
Positions (direct):
Pm1 0.167 0.833 0.000
Pm2 0.833 0.167 0.000
Pr1 0.000 0.000 0.500
Pr2 0.330 0.670 0.500
Pr3 0.670 0.330 0.500
Dy1 0.500 0.500 0.000
S1 0.095 0.421 0.762
S2 0.255 0.255 0.241
S3 0.421 0.095 0.762
S4 0.579 0.905 0.238
S5 0.745 0.745 0.759
S6 0.905 0.579 0.238



Record 15
Density functional theory data (GGA-PBE) for a relaxed Ba2B2AuS6 crystal.

The formation energy without anion corrections is -0.869 eV per atom. The value obtained for the density of states at the Fermi level is 4.4 states/eV/f.u. The electronic total energy comes out at -4.982 eV/atom. The space group is R-3m (166).

a b c (Å): 7.893 7.893 7.893
angles (deg): 48.98 48.98 48.98
Positions (direct):
Ba1 0.226 0.226 0.226
Ba2 0.774 0.774 0.774
B1 0.415 0.415 0.415
B2 0.585 0.585 0.585
Au1 0.000 0.000 0.000
S1 0.258 0.741 0.741
S2 0.259 0.259 0.742
S3 0.259 0.742 0.259
S4 0.741 0.258 0.741
S5 0.741 0.741 0.258
S6 0.742 0.259 0.259



Record 16
Density functional theory data (GGA-PBE) for a relaxed ZnPd6Pt3 crystal.

Its energy of formation is -96 meV/atom. The value obtained for the density of states at the Fermi level is 14.3 states/eV/f.u. The electronic total energy comes out at -5.152 eV/atom. For the energy above the most stable polymorph in this dataset, the calculation gives 52 meV/atom. The space group is P2_1/m (11).

a b c (Å): 10.193 2.743 11.341
angles (deg): 90.00 101.80 90.00
Positions (direct):
Zn1 0.042 0.250 0.211
Zn2 0.958 0.750 0.789
Pd1 0.119 0.250 0.983
Pd2 0.188 0.750 0.413
Pd3 0.210 0.750 0.788
Pd4 0.262 0.750 0.197
Pd5 0.340 0.250 0.617
Pd6 0.491 0.750 0.807
Pd7 0.509 0.250 0.193
Pd8 0.660 0.750 0.383
Pd9 0.738 0.250 0.803
Pd10 0.790 0.250 0.212
Pd11 0.812 0.250 0.587
Pd12 0.881 0.750 0.017
Pt1 0.072 0.250 0.596
Pt2 0.374 0.750 0.999
Pt3 0.423 0.250 0.402
Pt4 0.577 0.750 0.598
Pt5 0.626 0.250 0.001
Pt6 0.928 0.750 0.404



Record 17
Density functional theory data (GGA-PBE) for a relaxed BaBrCl2 crystal.

The formation energy without anion corrections is -1.558 eV per atom. The value obtained for the density of states at the Fermi level is 7.9 states/eV/f.u. The electronic total energy comes out at -3.381 eV/atom. For the energy above the most stable polymorph in this dataset, the calculation gives 145 meV/atom. The space group is Fm-3m (225).

a b c (Å): 7.755 7.755 7.755
angles (deg): 90.00 90.00 90.00
Positions (direct):
Ba1 0.000 0.000 0.000
Ba2 0.000 0.500 0.500
Ba3 0.500 0.000 0.500
Ba4 0.500 0.500 0.000
Br1 0.000 0.000 0.500
Br2 0.000 0.500 0.000
Br3 0.500 0.000 0.000
Br4 0.500 0.500 0.500
Cl1 0.250 0.250 0.250
Cl2 0.250 0.250 0.750
Cl3 0.250 0.750 0.250
Cl4 0.250 0.750 0.750
Cl5 0.750 0.250 0.250
Cl6 0.750 0.250 0.750
Cl7 0.750 0.750 0.250
Cl8 0.750 0.750 0.750



Record 18
Density functional theory data (GGA-PBE) for a relaxed MgSn6Ir crystal.

Its energy of formation is 81 meV/atom. The value obtained for the density of states at the Fermi level is 4.2 states/eV/f.u. The electronic total energy comes out at -4.228 eV/atom. The space group is C2/m (12).

a b c (Å): 7.128 8.799 7.154
angles (deg): 90.00 97.53 90.00
Positions (direct):
Mg1 0.000 0.000 0.000
Mg2 0.500 0.500 0.000
Sn1 0.149 0.500 0.168
Sn2 0.247 0.185 0.295
Sn3 0.247 0.815 0.295
Sn4 0.253 0.315 0.705
Sn5 0.253 0.685 0.705
Sn6 0.351 0.000 0.832
Sn7 0.649 0.000 0.168
Sn8 0.747 0.315 0.295
Sn9 0.747 0.685 0.295
Sn10 0.753 0.185 0.705
Sn11 0.753 0.815 0.705
Sn12 0.851 0.500 0.832
Ir1 0.000 0.500 0.500
Ir2 0.500 0.000 0.500



Record 19
Density functional theory data (GGA-PBE) for a relaxed Na2CeAgCl6 crystal.

The formation energy without anion corrections is -1.668 eV per atom. The value obtained for the density of states at the Fermi level is 8.4 states/eV/f.u. The electronic total energy comes out at -3.918 eV/atom. The space group is P2_1/c (14).

a b c (Å): 6.984 7.265 12.519
angles (deg): 90.00 121.57 90.00
Positions (direct):
Na1 0.201 0.074 0.228
Na2 0.201 0.426 0.728
Na3 0.799 0.574 0.272
Na4 0.799 0.926 0.772
Ce1 0.500 0.000 0.000
Ce2 0.500 0.500 0.500
Ag1 0.000 0.000 0.500
Ag2 0.000 0.500 0.000
Cl1 0.113 0.189 0.939
Cl2 0.113 0.311 0.439
Cl3 0.224 0.692 0.907
Cl4 0.224 0.808 0.407
Cl5 0.413 0.080 0.763
Cl6 0.413 0.420 0.263
Cl7 0.587 0.580 0.737
Cl8 0.587 0.920 0.237
Cl9 0.776 0.192 0.593
Cl10 0.776 0.308 0.093
Cl11 0.887 0.689 0.561
Cl12 0.887 0.811 0.061



Record 20
Density functional theory data (GGA-PBE) for a relaxed Cs2K13 crystal.

Its energy of formation is 6 meV/atom. The value obtained for the density of states at the Fermi level is 11.4 states/eV/f.u. The electronic total energy comes out at -1.059 eV/atom. For the energy above the most stable polymorph in this dataset, the calculation gives 0 meV/atom. The space group is P-1 (2).

a b c (Å): 8.673 11.904 12.339
angles (deg): 67.16 80.76 82.39
Positions (direct):
Cs1 0.130 0.300 0.463
Cs2 0.870 0.700 0.537
K1 0.000 0.500 0.000
K2 0.083 0.893 0.751
K3 0.195 0.718 0.181
K4 0.274 0.105 0.933
K5 0.358 0.497 0.678
K6 0.388 0.906 0.393
K7 0.465 0.302 0.121
K8 0.535 0.698 0.879
K9 0.612 0.094 0.607
K10 0.642 0.503 0.322
K11 0.726 0.895 0.067
K12 0.805 0.282 0.819
K13 0.917 0.107 0.249